(1)
{"formula": "Ac3Al2Ge4", "functional": "PBE", "state": "relaxed", "cell": [[4.404, 0.000, 0.000], [-2.202, 6.044, -0.274], [0.000, -2.837, 8.792]], "species": ["Ge", "Ge", "Ge", "Ge", "Ac", "Ac", "Ac", "Al", "Al"], "fractional_positions": [[0.281, 0.561, 0.939], [0.719, 0.439, 0.061], [0.106, 0.213, 0.402], [0.894, 0.787, 0.598], [0.382, 0.765, 0.309], [0.000, 0.000, 0.000], [0.618, 0.235, 0.691], [0.320, 0.639, 0.671], [0.680, 0.361, 0.329]], "ef_ev_per_atom": -0.570, "n_ef_per_ev_cell": 4.3, "e_above_lowest_polymorph_ev_per_atom": 0.0299, "space_group": "C2/m (12)"}

***

(2)
{"formula": "Ac4AlGe2", "functional": "PBE", "state": "relaxed", "cell": [[-1.243, 4.348, -2.690], [-1.116, -0.311, -5.132], [-10.673, -0.095, -0.370]], "species": ["Al", "Ge", "Ge", "Ac", "Ac", "Ac", "Ac"], "fractional_positions": [[0.000, 0.000, 0.000], [0.096, 0.096, 0.713], [0.904, 0.904, 0.287], [0.379, 0.379, 0.864], [0.206, 0.206, 0.381], [0.794, 0.794, 0.619], [0.621, 0.621, 0.136]], "ef_ev_per_atom": -0.379, "n_ef_per_ev_cell": 8.0, "space_group": "R-3m (166)"}

***

(3)
{"formula": "Ac2AlGe5", "functional": "PBE", "state": "relaxed", "cell": [[6.675, -0.242, -0.345], [-3.497, 5.691, 0.345], [-3.497, -1.612, 5.468]], "species": ["Ge", "Ge", "Ge", "Ge", "Ge", "Al", "Ac", "Ac"], "fractional_positions": [[0.000, 0.728, 0.282], [0.554, 0.282, 0.282], [0.000, 0.323, 0.323], [0.000, 0.282, 0.728], [0.446, 0.728, 0.728], [0.000, 0.885, 0.885], [0.500, 0.247, 0.747], [0.500, 0.747, 0.247]], "ef_ev_per_atom": -0.397, "n_ef_per_ev_cell": 2.8, "space_group": "I4mm (107)"}

***

(4)
{"formula": "Ac12AlGe7", "functional": "PBE", "state": "relaxed", "cell": [[-4.685, 8.438, -2.212], [-0.288, -6.193, -7.721], [-4.150, -4.233, 7.931]], "species": ["Ac", "Ac", "Ac", "Ac", "Ac", "Ac", "Ac", "Ac", "Ac", "Ac", "Ac", "Ac", "Ge", "Ge", "Ge", "Ge", "Ge", "Ge", "Ge", "Al"], "fractional_positions": [[0.320, 0.402, 0.105], [0.887, 0.342, 0.741], [0.598, 0.895, 0.680], [0.113, 0.658, 0.259], [0.658, 0.259, 0.113], [0.342, 0.741, 0.887], [0.259, 0.113, 0.658], [0.680, 0.598, 0.895], [0.402, 0.105, 0.320], [0.105, 0.320, 0.402], [0.741, 0.887, 0.342], [0.895, 0.680, 0.598], [0.500, 0.500, 0.500], [0.262, 0.033, 0.946], [0.946, 0.262, 0.033], [0.054, 0.738, 0.967], [0.033, 0.946, 0.262], [0.738, 0.967, 0.054], [0.967, 0.054, 0.738], [0.000, 0.000, 0.000]], "ef_ev_per_atom": -0.383, "n_ef_per_ev_cell": 21.0, "space_group": "R-3 (148)"}

***

(5)
{"formula": "Ac4Al3Ge", "functional": "PBE", "state": "relaxed", "cell": [[-2.601, -2.866, 2.849], [3.090, 0.228, 3.051], [-5.456, 9.722, 4.800]], "species": ["Ge", "Al", "Al", "Al", "Ac", "Ac", "Ac", "Ac"], "fractional_positions": [[0.500, 0.500, 0.069], [0.500, 0.000, 0.938], [0.000, 0.000, 0.434], [0.000, 0.500, 0.562], [0.500, 0.000, 0.644], [0.000, 0.500, 0.857], [0.000, 0.000, 0.141], [0.500, 0.500, 0.355]], "ef_ev_per_atom": -0.428, "n_ef_per_ev_cell": 7.7, "space_group": "Pmm2 (25)"}

***

(6)
{"formula": "Ac2AlHgGe", "functional": "PBE", "state": "relaxed", "cell": [[-1.810, 1.654, -4.074], [-3.433, -7.159, -1.382], [-6.508, 2.651, 3.967]], "species": ["Ac", "Ac", "Ac", "Ac", "Ge", "Ge", "Hg", "Hg", "Al", "Al"], "fractional_positions": [[0.250, 0.231, 0.990], [0.750, 0.769, 0.010], [0.750, 0.789, 0.499], [0.250, 0.211, 0.501], [0.250, 0.896, 0.762], [0.750, 0.104, 0.238], [0.250, 0.588, 0.271], [0.750, 0.412, 0.729], [0.250, 0.583, 0.725], [0.750, 0.417, 0.275]], "ef_ev_per_atom": -0.487, "n_ef_per_ev_cell": 7.4, "space_group": "P2_1/m (11)"}

***

| no. | uncorrected energy (eV per atom) |
| --- | --- |
| 1 | -4.823 |
| 2 | -4.580 |
| 3 | -4.778 |
| 4 | -4.652 |
| 5 | -4.463 |
| 6 | -3.863 |